Here is a relaxed structure of GeMo2N from the Open Quantum Materials Database. Energies are from GGA-PBE.

abc: 3.027 3.027 13.164
angles: 90.00 90.00 120.00
Fractional positions:
Ge (0.667, 0.333, 0.250)
Ge (0.333, 0.667, 0.750)
Mo (0.667, 0.333, 0.594)
Mo (0.333, 0.667, 0.094)
Mo (0.667, 0.333, 0.906)
Mo (0.333, 0.667, 0.406)
N (0.000, 0.000, 0.500)
N (0.000, 0.000, 0.000)

Its energy above the lowest structure with this stoichiometry is 0.032 eV/atom. The calculated total energy comes out at -69.569 eV per cell.


Here is a relaxed structure of GeMo2N from the Open Quantum Materials Database. Energies are from GGA-PBE.

abc: 5.284 5.284 13.364
angles: 103.59 103.59 61.55
Fractional positions:
Ge (0.565, 0.805, 0.247)
Ge (0.435, 0.195, 0.753)
Ge (0.914, 0.086, 0.250)
Ge (0.086, 0.914, 0.750)
Ge (0.195, 0.435, 0.253)
Ge (0.805, 0.565, 0.747)
Mo (0.603, 0.520, 0.389)
Mo (0.480, 0.397, 0.111)
Mo (0.048, 0.178, 0.588)
Mo (0.178, 0.048, 0.088)
Mo (0.952, 0.822, 0.412)
Mo (0.698, 0.850, 0.584)
Mo (0.302, 0.150, 0.416)
Mo (0.822, 0.952, 0.912)
Mo (0.850, 0.698, 0.084)
Mo (0.520, 0.603, 0.889)
Mo (0.150, 0.302, 0.916)
Mo (0.397, 0.480, 0.611)
N (0.341, 0.774, 0.515)
N (0.774, 0.341, 0.015)
N (0.659, 0.226, 0.485)
N (0.500, 0.000, 0.000)
N (0.000, 0.500, 0.500)
N (0.226, 0.659, 0.985)

Its energy above the lowest structure with this stoichiometry is 0.000 eV/atom. The calculated total energy comes out at -209.469 eV per cell.


Here is a relaxed structure of Nb2Ge3Mo4N3 from the Open Quantum Materials Database. Energies are from GGA-PBE.

abc: 5.506 5.506 12.915
angles: 102.76 102.76 60.08
Fractional positions:
Ge (0.419, 0.221, 0.750)
Ge (0.056, 0.944, 0.750)
Ge (0.944, 0.056, 0.250)
Ge (0.581, 0.779, 0.250)
Ge (0.221, 0.419, 0.250)
Ge (0.779, 0.581, 0.750)
N (0.188, 0.657, 0.000)
N (0.812, 0.343, 0.000)
N (0.343, 0.812, 0.500)
N (0.500, 0.000, 0.000)
N (0.000, 0.500, 0.500)
N (0.657, 0.188, 0.500)
Mo (0.818, 0.955, 0.914)
Mo (0.182, 0.045, 0.086)
Mo (0.045, 0.182, 0.586)
Mo (0.877, 0.694, 0.085)
Mo (0.694, 0.877, 0.585)
Mo (0.955, 0.818, 0.414)
Mo (0.123, 0.306, 0.915)
Mo (0.306, 0.123, 0.415)
Nb (0.531, 0.353, 0.099)
Nb (0.647, 0.469, 0.401)
Nb (0.469, 0.647, 0.901)
Nb (0.353, 0.531, 0.599)

The calculated total energy comes out at -211.592 eV per cell.


Here is a relaxed structure of NiGeMo4N2 from the Open Quantum Materials Database. Energies are from GGA-PBE.

abc: 2.866 2.866 14.089
angles: 90.00 90.00 120.00
Fractional positions:
Mo (0.667, 0.333, 0.847)
Mo (0.000, 0.000, 0.650)
Mo (0.000, 0.000, 0.350)
Mo (0.667, 0.333, 0.153)
N (0.333, 0.667, 0.750)
N (0.333, 0.667, 0.250)
Ge (0.000, 0.000, 0.000)
Ni (0.667, 0.333, 0.500)

The calculated total energy comes out at -70.017 eV per cell.